Crystalline CeEr5Sb4 at its relaxed geometry, computed with PBE.

Lattice parameters (Å, degrees): 9.5373 9.5373 8.3853 105.57 105.57 26.16
With the nearest neighbours (Å) after each atom.
Sites, in units of the cell vectors:
1 Ce 0.0000 0.0000 0.0000  6 Sb 3.07-3.08
2 Er 0.0000 0.0000 0.5000  4 Sb 2.97
3 Er 0.3184 0.3184 0.6509  3 Sb 3.04-3.06
4 Er 0.3399 0.3399 0.1819  4 Sb 2.99-3.08
5 Er 0.6601 0.6601 0.8181  4 Sb 2.99-3.08
6 Er 0.6816 0.6816 0.3491  3 Sb 3.04-3.06
7 Sb 0.1724 0.1724 0.0863  5 Er 2.99-3.08, 1 Ce 3.08
8 Sb 0.4882 0.4882 0.7339  4 Er 2.97-3.08, 2 Ce 3.07
9 Sb 0.5118 0.5118 0.2661  4 Er 2.97-3.08, 2 Ce 3.07
10 Sb 0.8276 0.8276 0.9137  5 Er 2.99-3.08, 1 Ce 3.08

Output
Calculated volume in Å³/cell: 323.28
DOS(E_F) in states/eV per atom: 1.153
ΔE_f (raw) in eV per atom: -0.66